A plane-wave DFT calculation with GGA-PBE was carried out for an optimized crystal structure of CrBiP2Cl.

## Properties
- Symmetry: P4/mmm, No. 123
- Formation energy without anion corrections: 35.02 kcal/mol of atoms

Lattice parameters (Å, degrees): 5.288 5.288 5.219 90.00 90.00 90.00
Positions (direct):
Cr 0.000 0.000 0.000
Bi 0.500 0.500 0.500
P 0.000 0.500 0.500
P 0.500 0.000 0.500
Cl 0.500 0.500 0.000


A plane-wave DFT calculation with GGA-PBE was carried out for an optimized crystal structure of CrBiP2Cl.

## Properties
- Symmetry: P4/mmm, No. 123
- Formation energy without anion corrections: 4.33 kcal/mol of atoms

Lattice parameters (Å, degrees): 4.713 4.713 4.641 90.00 90.00 90.00
Positions (direct):
Cr 0.000 0.000 0.000
Bi 0.500 0.500 0.500
P 0.000 0.500 0.000
P 0.500 0.000 0.000
Cl 0.000 0.000 0.500


A plane-wave DFT calculation with GGA-PBE was carried out for an optimized crystal structure of Rb2CrBiCl6.

## Properties
- Symmetry: I4/mmm, No. 139
- Formation energy without anion corrections: -29.37 kcal/mol of atoms

Lattice parameters (Å, degrees): 7.555 7.555 7.555 120.11 120.11 89.80
Positions (direct):
Rb 0.250 0.750 0.500
Rb 0.750 0.250 0.500
Cr 0.000 0.000 0.000
Bi 0.500 0.500 0.000
Cl 0.237 0.237 0.475
Cl 0.237 0.763 0.000
Cl 0.238 0.238 0.000
Cl 0.762 0.762 0.000
Cl 0.763 0.237 0.000
Cl 0.763 0.763 0.525


A plane-wave DFT calculation with GGA-PBE was carried out for an optimized crystal structure of RbCrBiCl6.

## Properties
- Symmetry: C2, No. 5
- Formation energy without anion corrections: -28.04 kcal/mol of atoms

Lattice parameters (Å, degrees): 6.877 6.877 7.254 91.66 91.66 117.57
Positions (direct):
Rb 0.000 0.000 0.000
Cr 0.325 0.675 0.500
Bi 0.663 0.337 0.500
Cl 0.013 0.649 0.317
Cl 0.344 0.407 0.296
Cl 0.351 0.987 0.683
Cl 0.593 0.656 0.704
Cl 0.619 0.015 0.268
Cl 0.985 0.381 0.732


A plane-wave DFT calculation with GGA-PBE was carried out for an optimized crystal structure of CrBiRuCl2.

## Properties
- Symmetry: P4/mmm, No. 123
- Formation energy without anion corrections: 8.84 kcal/mol of atoms

Lattice parameters (Å, degrees): 4.504 4.504 5.442 90.00 90.00 90.00
Positions (direct):
Cr 0.000 0.000 0.000
Bi 0.500 0.500 0.500
Ru 0.000 0.000 0.500
Cl 0.000 0.500 0.000
Cl 0.500 0.000 0.000


A plane-wave DFT calculation with GGA-PBE was carried out for an optimized crystal structure of SrCrBi2Cl.

## Properties
- Symmetry: P4/mmm, No. 123
- Formation energy without anion corrections: 10.52 kcal/mol of atoms

Lattice parameters (Å, degrees): 6.326 6.326 5.337 90.00 90.00 90.00
Positions (direct):
Sr 0.000 0.000 0.000
Cr 0.500 0.500 0.500
Bi 0.000 0.500 0.000
Bi 0.500 0.000 0.000
Cl 0.000 0.000 0.500


A plane-wave DFT calculation with GGA-PBE was carried out for an optimized crystal structure of VCr2BiCl.

## Properties
- Symmetry: P4/mmm, No. 123
- Formation energy without anion corrections: 26.27 kcal/mol of atoms

Lattice parameters (Å, degrees): 5.383 5.383 5.386 90.00 90.00 90.00
Positions (direct):
V 0.000 0.000 0.000
Cr 0.000 0.500 0.500
Cr 0.500 0.000 0.500
Bi 0.000 0.000 0.500
Cl 0.500 0.500 0.000


A plane-wave DFT calculation with GGA-PBE was carried out for an optimized crystal structure of Cs2BiCl.

## Properties
- Symmetry: I-42d, No. 122
- Formation energy without anion corrections: -17.50 kcal/mol of atoms

Lattice parameters (Å, degrees): 8.528 8.528 8.528 110.21 110.21 108.01
Positions (direct):
Cs 0.069 0.625 0.944
Cs 0.375 0.319 0.444
Cs 0.681 0.125 0.056
Cs 0.875 0.931 0.556
Bi 0.250 0.750 0.500
Bi 0.500 0.500 0.000
Cl 0.000 0.000 0.000
Cl 0.750 0.250 0.500


What is the formation energy without anion corrections in the second record? 4.33 kcal/mol of atoms